(1)
BeAl2Pd | PBE | optimized geometry

Density of states at the Fermi level, states/eV/atom: 0.5569
DFT total energy, eV for the cell shown: -31.846
Space group: No. 122
Total magnetization, μB/atom: 0.000

Geometry as extended XYZ:
```
8
Lattice="-5.7286 3.8716 -0.9505 -3.4037 -5.6163 -2.3624 -5.3181 -1.4070 0.6979" Properties=species:S:1:pos:R:3 pbc="T T T"
Be -4.5662 -0.8724 -1.6564
Pd 0.0000 0.0000 0.0000
Al -7.4374 -1.7494 -0.7357
Pd -7.8064 0.7961 -0.9545
Be -6.6440 -3.9478 -1.6604
Al -11.9551 -2.5419 -2.3585
Al -5.2946 1.3384 -0.7081
Al -4.2137 -3.3504 -1.4276
```



(2)
Sr3Ce2TaAs6 | PBE | optimized geometry

Density of states at the Fermi level, states/eV/atom: 0.7552
DFT total energy, eV for the cell shown: -69.616
Space group: No. 12
Total magnetization, μB/atom: 0.072

Geometry as extended XYZ:
```
12
Lattice="-4.3754 -0.3578 5.7843 1.4207 -5.9844 -3.8598 6.5874 0.7838 3.5017" Properties=species:S:1:pos:R:3 pbc="T T T"
Ce -0.5161 -4.1043 -0.6372
Ta 0.0000 0.0000 0.0000
As 4.4633 -0.8900 3.2017
Sr -0.0894 -0.9292 5.8841
Sr 3.7221 -4.6293 -0.4579
As -0.1587 -0.3960 2.6859
Sr 1.8163 -2.7792 2.7131
As 1.9899 -3.4136 5.7377
As 3.7913 -5.1624 2.7403
As -0.8307 -4.6684 2.2245
Ce -2.4386 -2.2380 2.5617
As 1.6427 -2.1448 -0.3116
```



(3)
Sc6Zn5Os | PBE | optimized geometry

Density of states at the Fermi level, states/eV/atom: 0.7242
DFT total energy, eV for the cell shown: -60.618
Space group: No. 65
Total magnetization, μB/atom: 0.000

Geometry as extended XYZ:
```
12
Lattice="4.4508 -0.0266 1.4833 0.0359 6.6866 0.0119 0.0037 -0.0133 7.4082" Properties=species:S:1:pos:R:3 pbc="T T T"
Os 0.0000 0.0000 0.0000
Sc 0.7489 5.0457 5.2627
Zn 2.9811 -0.0266 5.8933
Zn 0.0179 3.3433 0.0060
Zn 2.9932 3.3167 5.9167
Sc 2.2527 5.0782 0.7507
Zn 1.4971 3.3300 2.9866
Zn 1.4734 -0.0133 2.9981
Sc 2.2339 1.5818 0.7445
Sc 3.7599 5.0324 3.6468
Sc 0.7304 1.6143 5.2566
Sc 3.7415 1.6010 3.6406
```



(4)
LiPr2Er | PBE | optimized geometry

Density of states at the Fermi level, states/eV/atom: 1.0570
Polymorph energy (0 for the lowest one), meV per atom: 51.0
Space group: No. 156
Total magnetization, μB/atom: 0.000

Geometry as extended XYZ:
```
4
Lattice="3.5604 0.0000 0.0000 -1.7802 3.0834 0.0000 0.0000 0.0000 11.9522" Properties=species:S:1:pos:R:3 pbc="T T T"
Pr 1.7802 1.0278 2.9700
Er 0.0000 0.0000 0.0978
Pr 0.0000 2.0556 9.1358
Li 1.7802 1.0278 6.2626
```



(5)
SrPtN2O | PBE | optimized geometry

Density of states at the Fermi level, states/eV/atom: 1.5001
DFT total energy, eV for the cell shown: -18.593
Space group: No. 123
Total magnetization, μB/atom: 0.070

Geometry as extended XYZ:
```
5
Lattice="-2.5852 0.6992 -3.7597 2.6864 -2.8977 -2.3861 -2.5688 -3.3266 1.1476" Properties=species:S:1:pos:R:3 pbc="T T T"
Pt -1.2338 -2.7625 -2.4991
Sr 0.0000 0.0000 0.0000
O -1.2844 -1.6633 0.5738
N -1.2926 0.3496 -1.8798
N 1.3432 -1.4488 -1.1931
```



(6)
LaMgAu2 | PBE | optimized geometry

Density of states at the Fermi level, states/eV/atom: 0.5875
DFT total energy, eV for the cell shown: -15.706
Space group: No. 38
Total magnetization, μB/atom: 0.000

Geometry as extended XYZ:
```
4
Lattice="-5.2708 0.1821 -2.2937 -4.1579 -3.5992 -1.6832 -1.8156 0.1414 4.1853" Properties=species:S:1:pos:R:3 pbc="T T T"
Au -2.6660 -0.6665 0.7316
La -5.2467 -1.6015 -0.3553
Mg -8.7946 -2.4881 0.6215
Au -1.9746 -0.0160 3.5003
```



(7)
Sr2MoRu | PBE | optimized geometry

Density of states at the Fermi level, states/eV/atom: 1.0314
Polymorph energy (0 for the lowest one), meV per atom: 839.3
Space group: No. 10
Total magnetization, μB/atom: 0.000

Geometry as extended XYZ:
```
4
Lattice="5.0259 0.0000 0.0000 0.0000 3.2099 0.0013 0.0000 2.9252 5.6612" Properties=species:S:1:pos:R:3 pbc="T T T"
Ru 2.5129 4.6013 4.2469
Sr 0.0000 6.0041 5.6353
Mo 2.5129 1.5338 1.4156
Sr 0.0000 3.1985 2.8585
```



(8)
NbCrNiS2 | PBE | optimized geometry

Density of states at the Fermi level, states/eV/atom: 1.1993
DFT total energy, eV for the cell shown: -30.566
Space group: No. 123
Total magnetization, μB/atom: 0.453

Geometry as extended XYZ:
```
5
Lattice="4.3993 0.0000 0.0000 0.0000 4.3695 0.0000 0.0000 0.0000 4.3993" Properties=species:S:1:pos:R:3 pbc="T T T"
S 2.1996 0.0000 0.0000
Nb 2.1996 2.1848 2.1996
Ni 0.0000 0.0000 0.0000
S 0.0000 0.0000 2.1996
Cr 0.0000 2.1848 0.0000
```



(9)
CdGa2Sn | PBE | optimized geometry

Density of states at the Fermi level, states/eV/atom: 0.3822
Polymorph energy (0 for the lowest one), meV per atom: 0.1
Space group: No. 123
Total magnetization, μB/atom: 0.000

Geometry as extended XYZ:
```
4
Lattice="-0.5854 1.0288 3.0369 -2.8997 -1.4876 -0.0549 3.5450 -7.0228 3.0624" Properties=species:S:1:pos:R:3 pbc="T T T"
Ga 2.6811 -5.3114 2.3161
Sn 0.0300 -3.7408 3.0222
Ga 0.8639 -1.7114 0.7463
Cd -1.7425 -0.2294 1.4910
```



(10)
BaTeSe | PBE | optimized geometry

Density of states at the Fermi level, states/eV/atom: 0.1691
Polymorph energy (0 for the lowest one), meV per atom: 10.7
Space group: No. 38
Total magnetization, μB/atom: 0.000

Geometry as extended XYZ:
```
12
Lattice="4.3610 0.0000 0.0000 0.0000 5.6039 0.0000 0.0000 0.0000 17.3744" Properties=species:S:1:pos:R:3 pbc="T T T"
Te 0.0000 2.8019 10.2864
Te 0.0000 2.8019 13.5062
Ba 2.1805 2.8019 2.2540
Te 0.0000 0.0000 4.8190
Se 0.0000 0.0000 13.4145
Ba 2.1805 0.0000 15.9610
Ba 2.1805 0.0000 10.9411
Ba 2.1805 2.8019 7.2739
Se 0.0000 0.0000 7.5353
Se 0.0000 2.8019 16.2225
Se 0.0000 2.8019 4.7273
Te 0.0000 0.0000 1.5992
```



(11)
RbNi4Se8 | PBE | optimized geometry

Density of states at the Fermi level, states/eV/atom: 0.5950
DFT total energy, eV for the cell shown: -56.796
Space group: No. 166
Total magnetization, μB/atom: 0.000

Geometry as extended XYZ:
```
13
Lattice="-3.1229 6.1427 -1.7575 -1.9186 1.2129 -6.7396 -9.2144 -0.9393 -1.2980" Properties=species:S:1:pos:R:3 pbc="T T T"
Ni -2.5208 3.6778 -4.2485
Rb -7.1280 3.2081 -4.8975
Se -10.4936 3.8541 -3.8231
Se -4.3619 5.0167 -3.4913
Ni -0.9593 0.6064 -3.3698
Se -5.3172 5.6206 -6.8470
Se -2.8014 1.9473 -2.6041
Ni 0.0000 0.0000 0.0000
Ni -1.5615 3.0713 -0.8788
Se -8.9387 0.7956 -2.9481
Se -9.8940 1.3995 -6.3037
Se -3.7623 2.5621 -5.9719
Se -11.4545 4.4689 -7.1910
```



(12)
AgHg2Os | PBE | optimized geometry

Density of states at the Fermi level, states/eV/atom: 0.4549
Polymorph energy (0 for the lowest one), meV per atom: 18.8
Space group: No. 160
Total magnetization, μB/atom: 0.197

Geometry as extended XYZ:
```
4
Lattice="10.4831 0.0331 0.0194 10.0687 2.9185 0.0194 10.0687 1.4461 2.5351" Properties=species:S:1:pos:R:3 pbc="T T T"
Ag 23.1466 3.3243 1.9457
Hg 7.4031 1.0632 0.6223
Os 15.2133 2.1849 1.2788
Hg 0.1679 0.0241 0.0141
```



The highest density of states at the Fermi level belongs to which entry? SrPtN2O